[1]
## NaCrOs3 (PBE)

Data for crystalline NaCrOs3 at its relaxed geometry.

Lattice parameters (Å, degrees): 4.505 4.505 4.505 90.00 90.00 90.00
Site moments in Bohr magnetons follow the coordinates.
Fractional positions:
Os  0.000  0.000  0.500  0.13
Os  0.000  0.500  0.000  0.21
Os  0.500  0.000  0.000  0.24
Cr  0.000  0.000  0.000  -0.05
Na  0.500  0.500  0.500  0.00

Summary:
**ΔE_f**: 1.6080 eV/atom
**E above lowest polymorph**: 0.0000 eV per atom


[2]
## NaCr3Os (PBE)

Data for crystalline NaCr3Os at its relaxed geometry.

Lattice parameters (Å, degrees): 4.795 4.795 4.795 90.00 90.00 90.00
Site moments in Bohr magnetons follow the coordinates.
Fractional positions:
Cr  0.500  0.000  0.000  3.47
Cr  0.000  0.000  0.500  2.80
Cr  0.000  0.500  0.000  3.08
Os  0.000  0.000  0.000  -0.63
Na  0.500  0.500  0.500  0.00

Summary:
**ΔE_f**: 1.1272 eV/atom
**E above lowest polymorph**: 0.0000 eV per atom


[3]
## NaCr2OsRu (PBE)

Data for crystalline NaCr2OsRu at its relaxed geometry.

Lattice parameters (Å, degrees): 4.145 4.436 4.145 90.00 90.00 90.00
Fractional positions:
Ru  0.500  0.500  0.500
Cr  0.000  0.000  0.500
Cr  0.500  0.000  0.000
Os  0.000  0.500  0.000
Na  0.000  0.000  0.000

Summary:
**ΔE_f**: 2.7078 eV/atom


[4]
## NaSrCr2Os (PBE)

Data for crystalline NaSrCr2Os at its relaxed geometry.

Lattice parameters (Å, degrees): 4.760 5.037 4.760 90.00 90.00 90.00
Site moments in Bohr magnetons follow the coordinates.
Fractional positions:
Os  0.000  0.500  0.000  0.85
Sr  0.000  0.000  0.000  -0.02
Na  0.500  0.500  0.500  0.00
Cr  0.000  0.000  0.500  -0.25
Cr  0.500  0.000  0.000  -0.45

Summary:
**ΔE_f**: 2.9888 eV/atom


[5]
## NaTl2CrOs (PBE)

Data for crystalline NaTl2CrOs at its relaxed geometry.

Lattice parameters (Å, degrees): 5.242 4.494 5.242 90.00 90.00 90.00
Site moments in Bohr magnetons follow the coordinates.
Fractional positions:
Na  0.500  0.500  0.500  -0.01
Tl  0.500  0.000  0.000  -0.01
Tl  0.000  0.000  0.500  -0.02
Cr  0.000  0.000  0.000  1.17
Os  0.000  0.500  0.000  0.63

Summary:
**ΔE_f**: 0.8465 eV/atom


[6]
## NaYCrOs2 (PBE)

Data for crystalline NaYCrOs2 at its relaxed geometry.

Lattice parameters (Å, degrees): 4.710 4.252 4.710 90.00 90.00 90.00
Site moments in Bohr magnetons follow the coordinates.
Fractional positions:
Y  0.500  0.500  0.500  0.03
Os  0.500  0.000  0.000  -0.14
Os  0.000  0.000  0.500  -0.08
Na  0.000  0.000  0.000  -0.04
Cr  0.000  0.500  0.000  0.21

Summary:
**ΔE_f**: 2.0837 eV/atom


[7]
## NaZnCr2Os (PBE)

Data for crystalline NaZnCr2Os at its relaxed geometry.

Lattice parameters (Å, degrees): 4.250 4.580 4.250 90.00 90.00 90.00
Site moments in Bohr magnetons follow the coordinates.
Fractional positions:
Cr  0.000  0.000  0.500  -0.22
Cr  0.500  0.000  0.000  -0.25
Na  0.000  0.000  0.000  0.01
Os  0.000  0.500  0.000  0.51
Zn  0.500  0.500  0.500  0.00

Summary:
**ΔE_f**: 2.6738 eV/atom


[8]
## Na2ZnCrOs (PBE)

Data for crystalline Na2ZnCrOs at its relaxed geometry.

Lattice parameters (Å, degrees): 4.711 4.848 4.711 90.00 90.00 90.00
Site moments in Bohr magnetons follow the coordinates.
Fractional positions:
Cr  0.500  0.500  0.500  -0.27
Os  0.000  0.500  0.000  1.00
Na  0.000  0.000  0.500  -0.01
Na  0.500  0.000  0.000  0.00
Zn  0.000  0.000  0.000  -0.02

Summary:
**ΔE_f**: 1.7151 eV/atom


[9]
## NaCrP3 (PBE)

Data for crystalline NaCrP3 at its relaxed geometry.

Lattice parameters (Å, degrees): 4.525 4.525 4.525 90.00 90.00 90.00
Fractional positions:
Cr  0.000  0.000  0.000
P  0.000  0.000  0.500
P  0.500  0.000  0.000
P  0.000  0.500  0.000
Na  0.500  0.500  0.500

Summary:
**ΔE_f**: 0.1739 eV/atom
**E above lowest polymorph**: 0.0000 eV per atom


[10]
## Na2Cr2P (PBE)

Data for crystalline Na2Cr2P at its relaxed geometry.

Lattice parameters (Å, degrees): 3.099 3.099 10.209 81.27 81.27 90.00
Fractional positions:
Cr  0.750  0.250  0.500
Cr  0.250  0.750  0.500
Na  0.399  0.399  0.202
Na  0.601  0.601  0.798
P  0.000  0.000  0.000

Summary:
**ΔE_f**: 0.5838 eV/atom
**E above lowest polymorph**: 0.0000 eV per atom


[11]
## NaCrP3 (PBE)

Data for crystalline NaCrP3 at its relaxed geometry.

Lattice parameters (Å, degrees): 4.689 4.689 4.689 90.00 90.00 90.00
Site moments in Bohr magnetons follow the coordinates.
Fractional positions:
Cr  0.500  0.500  0.500  -0.40
P  0.000  0.500  0.000  0.02
P  0.000  0.000  0.500  0.05
P  0.500  0.000  0.000  -0.01
Na  0.000  0.000  0.000  0.01

Summary:
**ΔE_f**: 1.9660 eV/atom
**E above lowest polymorph**: 1.7921 eV per atom


[12]
## Na2Cr2P (PBE)

Data for crystalline Na2Cr2P at its relaxed geometry.

Lattice parameters (Å, degrees): 8.541 8.541 2.785 90.00 90.00 90.00
Fractional positions:
Cr  0.574  0.926  0.500
Cr  0.926  0.426  0.500
Cr  0.426  0.074  0.500
Cr  0.074  0.574  0.500
P  0.500  0.500  0.000
P  0.000  0.000  0.000
Na  0.788  0.712  0.000
Na  0.288  0.788  0.000
Na  0.712  0.212  0.000
Na  0.212  0.288  0.000

Summary:
**ΔE_f**: 1.0341 eV/atom
**E above lowest polymorph**: 0.4504 eV per atom


Question: What is the ΔE_f in the eighth record?
Answer: 1.7151 eV/atom


Question: The lowest ΔE_f belongs to which entry?
Answer: number 9


Question: Look up the ΔE_f of the second one.
Answer: 1.1272 eV/atom